Entry A
The following is a PBE-GGA calculation of an optimized crystal structure of CuMoPbAu, from OQMD via LeMat-Bulk.

```
4
Lattice="0.000 3.319 3.319 3.319 0.000 3.319 3.319 3.319 0.000" Properties=species:S:1:pos:R:3 pbc="T T T"
Cu 0.000 0.000 0.000
Mo 3.319 3.319 3.319
Pb 4.978 4.978 4.978
Au 1.659 1.659 1.659
```

SG: F-43m, No. 216

---

Entry B
The following is a PBE-GGA calculation of an optimized crystal structure of CuMoPbAu, from OQMD via LeMat-Bulk.

```
4
Lattice="0.000 3.365 3.365 3.365 0.000 3.365 3.365 3.365 0.000" Properties=species:S:1:pos:R:3 pbc="T T T"
Cu 0.000 0.000 0.000
Mo 1.683 1.683 1.683
Pb 5.048 5.048 5.048
Au 3.365 3.365 3.365
```

SG: F-43m, No. 216

---

Energy relative to the most stable one, in eV/atom: entry A 0.000; entry B 0.096

---

Entry A
The following is a PBE-GGA calculation of an optimized crystal structure of CuSnMoAu, from OQMD via LeMat-Bulk.

```
4
Lattice="0.000 3.254 3.254 3.254 0.000 3.254 3.254 3.254 0.000" Properties=species:S:1:pos:R:3 pbc="T T T"
Cu 0.000 0.000 0.000
Sn 4.882 4.882 4.882
Mo 3.254 3.254 3.254
Au 1.627 1.627 1.627
```

SG: F-43m, No. 216

---

Entry B
The following is a PBE-GGA calculation of an optimized crystal structure of CuSnMoAu, from OQMD via LeMat-Bulk.

```
4
Lattice="0.000 3.279 3.279 3.279 0.000 3.279 3.279 3.279 0.000" Properties=species:S:1:pos:R:3 pbc="T T T"
Cu 0.000 0.000 0.000
Sn 4.918 4.918 4.918
Mo 1.639 1.639 1.639
Au 3.279 3.279 3.279
```

SG: F-43m, No. 216

---

Energy relative to the most stable one, in eV/atom: entry A 0.000; entry B 0.138

---

Entry A
The following is a PBE-GGA calculation of an optimized crystal structure of TlCuMoAu, from OQMD via LeMat-Bulk.

```
4
Lattice="0.000 3.287 3.287 3.287 0.000 3.287 3.287 3.287 0.000" Properties=species:S:1:pos:R:3 pbc="T T T"
Tl 0.000 0.000 0.000
Cu 1.643 1.643 1.643
Mo 4.930 4.930 4.930
Au 3.287 3.287 3.287
```

SG: F-43m, No. 216

---

Entry B
The following is a PBE-GGA calculation of an optimized crystal structure of TlCuMoAu, from OQMD via LeMat-Bulk.

```
4
Lattice="0.000 3.286 3.286 3.286 0.000 3.286 3.286 3.286 0.000" Properties=species:S:1:pos:R:3 pbc="T T T"
Tl 0.000 0.000 0.000
Cu 1.643 1.643 1.643
Mo 3.286 3.286 3.286
Au 4.928 4.928 4.928
```

SG: F-43m, No. 216

---

Energy relative to the most stable one, in eV/atom: entry A 0.000; entry B 0.065

---

Entry A
The following is a PBE-GGA calculation of an optimized crystal structure of NbCuAu, from OQMD via LeMat-Bulk.

```
3
Lattice="0.000 2.977 2.977 2.977 0.000 2.977 2.977 2.977 0.000" Properties=species:S:1:pos:R:3 pbc="T T T"
Nb 0.000 0.000 0.000
Cu 4.465 4.465 4.465
Au 2.977 2.977 2.977
```

SG: F-43m, No. 216

---

Entry B
The following is a PBE-GGA calculation of an optimized crystal structure of NbCuAu, from OQMD via LeMat-Bulk.

```
3
Lattice="0.000 3.081 3.081 3.081 0.000 3.081 3.081 3.081 0.000" Properties=species:S:1:pos:R:3 pbc="T T T"
Nb 0.000 0.000 0.000
Cu 4.622 4.622 4.622
Au 1.541 1.541 1.541
```

SG: F-43m, No. 216

---

Energy relative to the most stable one, in eV/atom: entry A 0.000; entry B 0.246

---

Entry A
The following is a PBE-GGA calculation of an optimized crystal structure of NbCuSbAu, from OQMD via LeMat-Bulk.

```
4
Lattice="0.000 3.341 3.341 3.341 0.000 3.341 3.341 3.341 0.000" Properties=species:S:1:pos:R:3 pbc="T T T"
Nb 0.000 0.000 0.000
Cu 5.011 5.011 5.011
Sb 3.341 3.341 3.341
Au 1.670 1.670 1.670
```

SG: F-43m, No. 216

---

Entry B
The following is a PBE-GGA calculation of an optimized crystal structure of NbCuSbAu, from OQMD via LeMat-Bulk.

```
4
Lattice="0.000 3.308 3.308 3.308 0.000 3.308 3.308 3.308 0.000" Properties=species:S:1:pos:R:3 pbc="T T T"
Nb 0.000 0.000 0.000
Cu 3.308 3.308 3.308
Sb 1.654 1.654 1.654
Au 4.962 4.962 4.962
```

SG: F-43m, No. 216

---

Energy relative to the most stable one, in eV/atom: entry A 0.216; entry B 0.000

---

Entry A
The following is a PBE-GGA calculation of an optimized crystal structure of CuNiWAu, from OQMD via LeMat-Bulk.

```
4
Lattice="0.000 3.060 3.060 3.060 0.000 3.060 3.060 3.060 0.000" Properties=species:S:1:pos:R:3 pbc="T T T"
Cu 0.000 0.000 0.000
Ni 1.530 1.530 1.530
W 3.060 3.060 3.060
Au 4.589 4.589 4.589
```

SG: F-43m, No. 216

---

Entry B
The following is a PBE-GGA calculation of an optimized crystal structure of CuNiWAu, from OQMD via LeMat-Bulk.

```
4
Lattice="0.000 3.053 3.053 3.053 0.000 3.053 3.053 3.053 0.000" Properties=species:S:1:pos:R:3 pbc="T T T"
Cu 0.000 0.000 0.000
Ni 1.526 1.526 1.526
W 4.579 4.579 4.579
Au 3.053 3.053 3.053
```

SG: F-43m, No. 216

---

Entry C
The following is a PBE-GGA calculation of an optimized crystal structure of CuNiWAu, from OQMD via LeMat-Bulk.

```
4
Lattice="0.000 3.023 3.023 3.023 0.000 3.023 3.023 3.023 0.000" Properties=species:S:1:pos:R:3 pbc="T T T"
Cu 0.000 0.000 0.000
Ni 3.023 3.023 3.023
W 4.534 4.534 4.534
Au 1.511 1.511 1.511
```

SG: F-43m, No. 216

---

Energy relative to the most stable one, in eV/atom: entry A 0.104; entry B 0.136; entry C 0.000